A plane-wave DFT calculation with meta-GGA SCAN was carried out for MgAl2Ni at its PBEsol-relaxed geometry. Values from VASP.

Formation enthalpy at 0 K   -0.083 eV per atom
Symmetry   P2/m, No. 10

```
&SYSTEM
  ibrav = 0, nat = 4, ntyp = 3
/
ATOMIC_SPECIES
Mg 24.30 Mg.upf
Al 26.98 Al.upf
Ni 58.69 Ni.upf
ATOMIC_POSITIONS angstrom
Mg 0.000 0.000 0.000
Al 1.559 0.000 2.240
Al 2.340 1.410 0.000
Ni -0.780 1.410 2.240
CELL_PARAMETERS angstrom
4.679 0.000 0.000
0.000 2.819 0.000
-1.561 0.000 4.479
```